First-principles (PBE) data for crystalline Hf2CrBi at its relaxed geometry, as listed in the Alexandria database.

Lattice parameters (Å, degrees): 4.1745 4.1745 10.9792 79.04 79.04 90.00
Closest atoms and distances in Å follow each position.
Element x y z (fractional)
1 Hf 0.1275 0.6250 0.2500  4 Hf 2.94-2.97, 2 Cr 3.02, 2 Bi 3.03
2 Hf 0.6225 0.1250 0.2500  4 Hf 2.94-2.97, 2 Cr 3.02, 2 Bi 3.03
3 Hf 0.8750 0.8725 0.7500  4 Hf 2.94-2.97, 2 Cr 3.02, 2 Bi 3.03
4 Hf 0.3750 0.3775 0.7500  4 Hf 2.94-2.97, 2 Cr 3.02, 2 Bi 3.03
5 Cr 0.2500 0.7500 0.5000  4 Bi 2.95, 4 Hf 3.02
6 Cr 0.5000 0.5000 0.0000  4 Bi 2.95, 4 Hf 3.02
7 Bi 0.0000 0.0000 0.0000  4 Cr 2.95, 4 Hf 3.03
8 Bi 0.7500 0.2500 0.5000  4 Cr 2.95, 4 Hf 3.03

Total magnetic moment: 2.8 μB per formula unit
SG: I-42d (122)
Density of states at the Fermi level: 1.341 states/eV/atom
E_tot: -7.73 eV/atom
ΔE_f: 0.618 eV per atom


First-principles (PBE) data for crystalline LaSbAu3 at its relaxed geometry, as listed in the Alexandria database.

Lattice parameters (Å, degrees): 6.6790 8.4271 8.6578 103.76 90.00 90.00
Closest atoms and distances in Å follow each position.
Element x y z (fractional)
1 Au 0.2935 0.4880 0.9828  4 Au 2.78-2.96
2 Au 0.4913 0.6708 0.3541  3 Au 2.80-2.96, 1 Sb 3.08
3 Au 0.7935 0.5120 0.5172  4 Au 2.78-2.96
4 Au 0.9913 0.3292 0.1459  3 Au 2.80-2.96, 1 Sb 3.08
5 Au 0.9013 0.8480 0.6315  3 Sb 2.73-2.95, 2 Au 2.80-2.86
6 Au 0.0987 0.1520 0.3685  3 Sb 2.73-2.95, 2 Au 2.80-2.86
7 Au 0.4013 0.1520 0.8685  3 Sb 2.73-2.95, 2 Au 2.80-2.86
8 Au 0.5087 0.3292 0.6459  3 Au 2.80-2.96, 1 Sb 3.08
9 Au 0.5987 0.8480 0.1315  3 Sb 2.73-2.95, 2 Au 2.80-2.86
10 Au 0.2065 0.4880 0.4828  4 Au 2.78-2.96
11 Au 0.0087 0.6708 0.8541  3 Au 2.80-2.96, 1 Sb 3.08
12 Au 0.7065 0.5120 0.0172  4 Au 2.78-2.96
13 Sb 0.2885 0.9804 0.5554  3 Au 2.73-2.95, 1 Sb 3.03
14 Sb 0.7885 0.0196 0.9446  3 Au 2.73-2.95, 1 Sb 3.03
15 Sb 0.7115 0.0196 0.4446  3 Au 2.73-2.95, 1 Sb 3.03
16 Sb 0.2115 0.9804 0.0554  3 Au 2.73-2.95, 1 Sb 3.03
17 La 0.4744 0.7118 0.7543  9 Au 3.14-3.50, 3 Sb 3.39-3.49
18 La 0.0256 0.7118 0.2543  9 Au 3.14-3.50, 3 Sb 3.39-3.49
19 La 0.5256 0.2882 0.2457  9 Au 3.14-3.50, 3 Sb 3.39-3.49
20 La 0.9744 0.2882 0.7457  9 Au 3.14-3.50, 3 Sb 3.39-3.49

Total magnetic moment: 0.0 μB per formula unit
SG: P2_1/c (14)
Density of states at the Fermi level: 0.348 states/eV/atom
E_tot: -4.35 eV/atom
Formation energy (no corrections): -570 meV per atom


First-principles (PBE) data for crystalline K2BOsN at its relaxed geometry, as listed in the Alexandria database.

Lattice parameters (Å, degrees): 5.9861 3.9694 5.9861 90.00 90.00 90.00
Closest atoms and distances in Å follow each position.
Element x y z (fractional)
1 K 0.5000 0.0000 0.0000  2 B 2.99
2 K 0.0000 0.0000 0.5000  2 B 2.99
3 N 0.5000 0.5000 0.5000  8 K 3.59, 2 N 3.97
4 B 0.0000 0.0000 0.0000  2 Os 1.98
5 Os 0.0000 0.5000 0.0000  2 B 1.98

Total magnetic moment: 3.5 μB per formula unit
SG: P4/mmm (123)
Density of states at the Fermi level: 1.686 states/eV/atom
E_tot: -4.11 eV/atom
Formation energy (no corrections): 1577 meV per atom